This record from the Alexandria database describes HgPd after structural relaxation. The functional is PBE-GGA.

Computed properties:
For the mass density, the calculation gives 12.77 Mg/m³. The calculation puts the total energy at -44.186 eV per cell. The space group is I4/m. As for the formation energy from the elements: -14 meV per atom. The density of states at the Fermi level comes out at 6.83 states/eV per cell.

Cell and atoms, written as POSCAR:
```
HgPd
1.0
-5.540 -7.960 3.357
7.449 -6.421 -2.933
1.293 0.252 2.732
Hg Pd
8 8
Direct
0.391 0.324 0.000
0.609 0.676 0.000
0.676 0.391 0.000
0.324 0.609 0.000
0.891 0.824 0.500
0.109 0.176 0.500
0.176 0.891 0.500
0.824 0.109 0.500
0.410 0.866 0.000
0.590 0.134 0.000
0.134 0.410 0.000
0.866 0.590 0.000
0.910 0.366 0.500
0.090 0.634 0.500
0.634 0.910 0.500
0.366 0.090 0.500
```